Record 1
Here is crystalline Y2Zn12Cu3Pt at its relaxed geometry from Alexandria. Energies are from PBE.

The structure belongs to space group R-3m (No. 166, hexagonal axes); the cell edges are 5.4626, 5.4626 and 36.3903 Å and the angles 90.00°, 90.00° and 120.00°. The asymmetric unit holds Y at (0.0000, 0.0000, 0.1446), Zn at (0.0072, 0.5036, 0.8900), Zn at (0.0176, 0.5088, 0.6140), Cu at (0.0000, 0.5000, 0.0000) and Pt at (0.0000, 0.0000, 0.5000).

***

Record 2
Here is crystalline Y2Zn2CuPt5 at its relaxed geometry from Alexandria. Energies are from PBE.

The structure belongs to space group P4/mbm (No. 127); the cell edges are 9.567, 9.567 and 3.766 Å and the angles 90.00°, 90.00° and 90.00°. The asymmetric unit holds Y at (0.176, 0.324, 0.000), Zn at (0.124, 0.624, 0.000), Cu at (0.000, 0.000, 0.000), Pt at (0.000, 0.500, 0.500) and Pt at (0.064, 0.800, 0.500).

***

Record 3
Here is crystalline YZnCuPt at its relaxed geometry from Alexandria. Energies are from PBE.

The structure belongs to space group F-43m (No. 216); the cell edges are 6.586, 6.586 and 6.586 Å and the angles 90.00°, 90.00° and 90.00°. The asymmetric unit holds Y at (0.000, 0.000, 0.000), Zn at (0.000, 0.000, 0.500), Cu at (0.250, 0.250, 0.750) and Pt at (0.250, 0.250, 0.250).

***

Record 4
Here is crystalline YZn2CuPt4 at its relaxed geometry from Alexandria. Energies are from PBE.

The structure belongs to space group R-3m (No. 166, hexagonal axes); the cell edges are 4.3746, 4.3746 and 24.0017 Å and the angles 90.00°, 90.00° and 120.00°. The asymmetric unit holds Y at (0.0000, 0.0000, 0.0000), Zn at (0.0000, 0.0000, 0.2420), Cu at (0.0000, 0.0000, 0.5000), Pt at (0.0000, 0.0000, 0.1275) and Pt at (0.0000, 0.0000, 0.3957).

***

no.,V (Å³/f.u.),ΔE_f (eV per atom),M_tot (μB per formula unit)
1,313,-0.10,0.0
2,172,-0.76,0.0
3,71,-0.54,0.0
4,133,-0.60,0.0